# 1
A geometry-optimized Tm3Zr structure, computed with PBE.

a = 7.686 Å, b = 7.686 Å, c = 7.686 Å
α = 90.00°, β = 90.00°, γ = 90.00°
Atoms (fractional coordinates):
1 Tm 0.000 0.000 0.000
2 Tm 0.000 0.500 0.500
3 Tm 0.250 0.250 0.250
4 Tm 0.250 0.250 0.750
5 Tm 0.250 0.750 0.250
6 Tm 0.250 0.750 0.750
7 Tm 0.500 0.000 0.500
8 Tm 0.500 0.500 0.000
9 Tm 0.750 0.250 0.250
10 Tm 0.750 0.250 0.750
11 Tm 0.750 0.750 0.250
12 Tm 0.750 0.750 0.750
13 Zr 0.000 0.000 0.500
14 Zr 0.000 0.500 0.000
15 Zr 0.500 0.000 0.000
16 Zr 0.500 0.500 0.500

## Properties
* space-group type: Fm-3m
* DFT formation energy: 194 meV/atom
* crystal system: cubic
* calculated volume: 28.4 Å³/atom
* distance to the lowest polymorph of the same formula: 0.157 eV/atom

***

# 2
A geometry-optimized Tm3Zr structure, computed with PBE.

a = 9.719 Å, b = 9.701 Å, c = 4.742 Å
α = 90.00°, β = 90.00°, γ = 90.00°
Atoms (fractional coordinates):
1 Tm 0.000 0.132 0.250
2 Tm 0.000 0.868 0.750
3 Tm 0.241 0.377 0.250
4 Tm 0.241 0.623 0.750
5 Tm 0.259 0.123 0.750
6 Tm 0.259 0.877 0.250
7 Tm 0.500 0.368 0.750
8 Tm 0.500 0.632 0.250
9 Tm 0.741 0.123 0.750
10 Tm 0.741 0.877 0.250
11 Tm 0.759 0.377 0.250
12 Tm 0.759 0.623 0.750
13 Zr 0.000 0.388 0.750
14 Zr 0.000 0.612 0.250
15 Zr 0.500 0.112 0.250
16 Zr 0.500 0.888 0.750

## Properties
* space-group type: Cmcm
* DFT formation energy: 53 meV/atom
* crystal system: orthorhombic
* calculated volume: 27.9 Å³/atom
* distance to the lowest polymorph of the same formula: 0.016 eV/atom

***

# 3
A geometry-optimized TmZr2 structure, computed with PBE.

a = 3.817 Å, b = 3.817 Å, c = 10.386 Å
α = 90.00°, β = 90.00°, γ = 90.00°
Atoms (fractional coordinates):
1 Tm 0.000 0.000 0.000
2 Tm 0.500 0.500 0.500
3 Zr 0.000 0.000 0.313
4 Zr 0.000 0.000 0.687
5 Zr 0.500 0.500 0.187
6 Zr 0.500 0.500 0.813

## Properties
* space-group type: I4/mmm
* DFT formation energy: 120 meV/atom
* crystal system: tetragonal
* calculated volume: 25.2 Å³/atom

***

# 4
A geometry-optimized TmZr2 structure, computed with PBE.

a = 3.320 Å, b = 17.298 Å, c = 5.254 Å
α = 90.00°, β = 90.00°, γ = 90.00°
Atoms (fractional coordinates):
1 Tm 0.000 0.112 0.250
2 Tm 0.000 0.888 0.750
3 Tm 0.500 0.388 0.750
4 Tm 0.500 0.612 0.250
5 Zr 0.000 0.220 0.750
6 Zr 0.000 0.445 0.250
7 Zr 0.000 0.555 0.750
8 Zr 0.000 0.780 0.250
9 Zr 0.500 0.055 0.750
10 Zr 0.500 0.280 0.250
11 Zr 0.500 0.720 0.750
12 Zr 0.500 0.945 0.250

## Properties
* space-group type: Cmcm
* DFT formation energy: 37 meV/atom
* crystal system: orthorhombic
* calculated volume: 25.1 Å³/atom

***

# 5
A geometry-optimized TmZr5 structure, computed with PBE.

a = 5.191 Å, b = 3.274 Å, c = 17.095 Å
α = 90.00°, β = 90.00°, γ = 90.00°
Atoms (fractional coordinates):
1 Tm 0.000 0.000 0.000
2 Tm 0.000 0.500 0.500
3 Zr 0.000 0.000 0.330
4 Zr 0.000 0.000 0.669
5 Zr 0.000 0.500 0.169
6 Zr 0.000 0.500 0.830
7 Zr 0.500 0.000 0.223
8 Zr 0.500 0.000 0.560
9 Zr 0.500 0.000 0.887
10 Zr 0.500 0.500 0.060
11 Zr 0.500 0.500 0.387
12 Zr 0.500 0.500 0.723

## Properties
* space-group type: Amm2
* DFT formation energy: 14 meV/atom
* crystal system: orthorhombic
* calculated volume: 24.2 Å³/atom

***

# 6
A geometry-optimized Tm4Zr structure, computed with PBE.

a = 7.500 Å, b = 7.500 Å, c = 7.500 Å
α = 104.01°, β = 104.01°, γ = 121.06°
Atoms (fractional coordinates):
1 Tm 0.224 0.282 0.558
2 Tm 0.224 0.666 0.942
3 Tm 0.282 0.224 0.058
4 Tm 0.334 0.776 0.558
5 Tm 0.666 0.224 0.442
6 Tm 0.718 0.776 0.942
7 Tm 0.776 0.334 0.058
8 Tm 0.776 0.718 0.442
9 Zr 0.125 0.875 0.250
10 Zr 0.875 0.125 0.750

## Properties
* space-group type: I4_1/amd
* DFT formation energy: 388 meV/atom
* crystal system: tetragonal
* calculated volume: 31.5 Å³/atom
* distance to the lowest polymorph of the same formula: 0.000 eV/atom

***

# 7
A geometry-optimized Tm3Zr structure, computed with PBE.

a = 3.459 Å, b = 10.804 Å, c = 6.030 Å
α = 90.00°, β = 90.00°, γ = 90.00°
Atoms (fractional coordinates):
1 Tm 0.000 0.000 0.000
2 Tm 0.000 0.243 0.657
3 Tm 0.000 0.757 0.657
4 Tm 0.500 0.257 0.157
5 Tm 0.500 0.500 0.500
6 Tm 0.500 0.743 0.157
7 Zr 0.000 0.500 0.991
8 Zr 0.500 0.000 0.491

## Properties
* space-group type: Imm2
* DFT formation energy: 44 meV/atom
* crystal system: orthorhombic
* calculated volume: 28.2 Å³/atom
* distance to the lowest polymorph of the same formula: 0.007 eV/atom

***

# 8
A geometry-optimized TmZr structure, computed with PBE.

a = 3.344 Å, b = 12.275 Å, c = 5.180 Å
α = 90.00°, β = 90.00°, γ = 90.00°
Atoms (fractional coordinates):
1 Tm 0.000 0.174 0.250
2 Tm 0.000 0.826 0.750
3 Tm 0.500 0.326 0.750
4 Tm 0.500 0.674 0.250
5 Zr 0.000 0.447 0.250
6 Zr 0.000 0.553 0.750
7 Zr 0.500 0.053 0.750
8 Zr 0.500 0.947 0.250

## Properties
* space-group type: Cmcm
* DFT formation energy: 14 meV/atom
* crystal system: orthorhombic
* calculated volume: 26.6 Å³/atom
* distance to the lowest polymorph of the same formula: 0.000 eV/atom